# Ho3Si12Ru4

A PBEsol-optimized structure of Ho3Si12Ru4 (meta-GGA SCAN, Alexandria via LeMat-Bulk).

Summary:
Energy relative to the elements, uncorrected = -0.659 eV/atom
Calculated density = 6919 kg/m3
Space group = Cmce (64)
Size of the total moment = 0.0 μB/f.u.
Final energy = -837.973 eV for the cell shown

Lattice parameters (Å, degrees): 10.016 10.016 8.045 90.00 90.00 47.32
Element x y z (fractional)
Ho: 0.000 0.000 0.000
Ho: 0.003 0.497 0.250
Ho: 0.497 0.003 0.750
Ho: 0.500 0.500 0.500
Ho: 0.503 0.997 0.250
Ho: 0.997 0.503 0.750
Si: 0.112 0.122 0.729
Si: 0.112 0.654 0.494
Si: 0.122 0.112 0.271
Si: 0.154 0.612 0.994
Si: 0.168 0.832 0.668
Si: 0.205 0.205 0.500
Si: 0.295 0.295 0.000
Si: 0.332 0.668 0.168
Si: 0.346 0.888 0.494
Si: 0.378 0.388 0.771
Si: 0.388 0.378 0.229
Si: 0.388 0.846 0.994
Si: 0.612 0.154 0.006
Si: 0.612 0.622 0.771
Si: 0.622 0.612 0.229
Si: 0.654 0.112 0.506
Si: 0.668 0.332 0.832
Si: 0.705 0.705 0.000
Si: 0.795 0.795 0.500
Si: 0.832 0.168 0.332
Si: 0.846 0.388 0.006
Si: 0.878 0.888 0.729
Si: 0.888 0.346 0.506
Si: 0.888 0.878 0.271
Ru: 0.126 0.874 0.373
Ru: 0.170 0.170 0.000
Ru: 0.330 0.330 0.500
Ru: 0.374 0.626 0.873
Ru: 0.626 0.374 0.127
Ru: 0.670 0.670 0.500
Ru: 0.830 0.830 0.000
Ru: 0.874 0.126 0.627

---

# Ba3BePt

A PBEsol-optimized structure of Ba3BePt (meta-GGA SCAN, Alexandria via LeMat-Bulk).

Summary:
Calculated density = 5334 kg/m3
Space group = Pm-3m (221)
Size of the total moment = 0.0 μB/f.u.
Final energy = -190.931 eV for the cell shown

Lattice parameters (Å, degrees): 5.767 5.767 5.767 90.00 90.00 90.00
Element x y z (fractional)
Ba: 0.000 0.000 0.500
Ba: 0.000 0.500 0.000
Ba: 0.500 0.000 0.000
Be: 0.000 0.000 0.000
Pt: 0.500 0.500 0.500

---

# BaCaBe2N

A PBEsol-optimized structure of BaCaBe2N (meta-GGA SCAN, Alexandria via LeMat-Bulk).

Summary:
Energy relative to the elements, uncorrected = 2.050 eV/atom
Calculated density = 2062 kg/m3
Space group = P4/mmm (123)
Size of the total moment = 0.1 μB/f.u.
Final energy = -56.963 eV for the cell shown

Lattice parameters (Å, degrees): 4.832 4.832 7.224 90.00 90.00 90.00
Element x y z (fractional)
Ba: 0.000 0.000 0.000
Ca: 0.000 0.000 0.500
Be: 0.000 0.500 0.500
Be: 0.500 0.000 0.500
N: 0.500 0.500 0.000